# Cs2RbCaCl | Alexandria via LeMat-Bulk | meta-GGA SCAN | single point on PBEsol structure
data_Cs2RbCaCl
_cell_length_a 8.0927
_cell_length_b 8.0927
_cell_length_c 7.6924
_cell_angle_alpha 90.00
_cell_angle_beta 90.00
_cell_angle_gamma 90.00
_space_group_name_H-M_alt 'P 4/m m m'
_space_group_IT_number 123
_space_group_name_Hall '-P 4 2'
loop_
_atom_site_label
_atom_site_type_symbol
_atom_site_fract_x
_atom_site_fract_y
_atom_site_fract_z
_atom_site_occupancy
Cs1 Cs 0.0000 0.5000 0.0000 1
Rb1 Rb 0.0000 0.0000 0.5000 1
Ca1 Ca 0.0000 0.0000 0.0000 1
Cl1 Cl 0.5000 0.5000 0.5000 1
# DOS at the Fermi energy   3.135 states/eV/cell
# DFT total energy   -114.23 eV for the cell shown
# Formation energy from raw total energies   -0.23 eV/f.u.